Sr2Ag2Sn3: relaxed, PBE-GGA.

Properties
- Calculated density: 6.300 Mg/m³
- Total DFT energy (no corrections): -3.466 eV/atom
- Crystal system: orthorhombic

a b c (Å): 4.8686 21.0152 7.6980
angles (deg): 90.00 90.00 90.00
Space group Cmcm (No. 63)
One atom of each set of equivalent atoms:
Sr 0.0000 0.0548 0.2500
Sr 0.0000 0.1610 0.7500
Ag 0.0000 0.3084 0.5588
Sn 0.0000 0.2231 0.2500
Sn 0.0000 0.4362 0.0648

Mo2PdBr: relaxed, PBE-GGA.

Properties
- Formation energy without anion corrections: 2.87 eV per formula unit
- Calculated density: 9.823 Mg/m³
- Crystal system: cubic

a b c (Å): 6.3474 6.3474 6.3474
angles (deg): 90.00 90.00 90.00
Space group Fm-3m (No. 225)
One atom of each set of equivalent atoms:
Mo 0.2500 0.2500 0.2500
Pd 0.0000 0.0000 0.0000
Br 0.0000 0.0000 0.5000

NaPr2Zn: relaxed, PBE-GGA.

Properties
- Calculated density: 4.966 Mg/m³
- Total DFT energy (no corrections): -3.088 eV/atom
- Crystal system: tetragonal

a b c (Å): 3.7160 3.7160 8.9643
angles (deg): 90.00 90.00 90.00
Space group P4/mmm (No. 123)
One atom of each set of equivalent atoms:
Na 0.0000 0.0000 0.0000
Pr 0.5000 0.5000 0.3026
Zn 0.0000 0.0000 0.5000

Re2HgOs: relaxed, PBE-GGA.

Properties
- Calculated density: 19.470 Mg/m³
- Total DFT energy (no corrections): -8.525 eV/atom
- Crystal system: orthorhombic

a b c (Å): 2.8090 3.9453 5.8737
angles (deg): 90.00 90.00 90.00
Space group Pmm2 (No. 25)
One atom of each set of equivalent atoms:
Re 0.0000 0.0000 0.0000
Re 0.5000 0.5000 0.2125
Hg 0.0000 0.0000 0.5005
Os 0.5000 0.5000 0.7833

IrPtIN2: relaxed, PBE-GGA.

Properties
- Formation energy without anion corrections: 4.82 eV per formula unit
- Calculated density: 7.190 Mg/m³
- Crystal system: tetragonal

a b c (Å): 3.7609 3.7609 8.8529
angles (deg): 90.00 90.00 90.00
Space group P4/mmm (No. 123)
One atom of each set of equivalent atoms:
Ir 0.0000 0.0000 0.0000
Pt 0.5000 0.5000 0.5000
I 0.0000 0.0000 0.5000
N 0.0000 0.5000 0.0000

LaTbCd5: relaxed, PBE-GGA.

Properties
- Calculated density: 7.420 Mg/m³
- Total DFT energy (no corrections): -2.164 eV/atom
- Crystal system: tetragonal

a b c (Å): 5.2970 5.2970 6.8587
angles (deg): 90.00 90.00 90.00
Space group P4/mmm (No. 123)
One atom of each set of equivalent atoms:
La 0.0000 0.0000 0.0000
Tb 0.5000 0.5000 0.5000
Cd 0.0000 0.5000 0.2743
Cd 0.5000 0.5000 0.0000

PaCdP2Rh5: relaxed, PBE-GGA.

Properties
- Calculated density: 10.718 Mg/m³
- Total DFT energy (no corrections): -7.132 eV/atom
- Crystal system: tetragonal

a b c (Å): 4.0942 4.0942 8.5021
angles (deg): 90.00 90.00 90.00
Space group P4/mmm (No. 123)
One atom of each set of equivalent atoms:
Pa 0.0000 0.0000 0.0000
Cd 0.0000 0.0000 0.5000
P 0.5000 0.5000 0.1353
Rh 0.0000 0.5000 0.2609
Rh 0.5000 0.5000 0.5000

Y5TmTl6: relaxed, PBE-GGA.

Properties
- Calculated density: 9.336 Mg/m³
- Total DFT energy (no corrections): -4.611 eV/atom
- Crystal system: orthorhombic

a b c (Å): 5.3963 16.1941 7.4887
angles (deg): 90.00 90.00 90.00
Space group Cmmm (No. 65)
One atom of each set of equivalent atoms:
Y 0.0000 0.0000 0.0000
Y 0.0000 0.3325 0.0000
Y 0.0000 0.3334 0.5000
Tm 0.0000 0.0000 0.5000
Tl 0.0000 0.1656 0.2515
Tl 0.0000 0.5000 0.2516